Record 1
Entry from Alexandria: a relaxed structure of DyBTe (PBE-GGA).

The structure in POSCAR format:
```
DyBTe
1.0
1.7983 -12.6233 0.0000
1.7983 12.6233 0.0000
0.0000 0.0000 3.2065
Dy B Te
2 2 2
Direct
0.0642 0.9358 0.7500
0.9358 0.0642 0.2500
0.4889 0.5111 0.7500
0.5111 0.4889 0.2500
0.1711 0.8289 0.2500
0.8289 0.1711 0.7500
```

## Properties
Symmetry: Cmcm, No. 63
Spin magnetization, Bohr magnetons per cell: 0.003
Formation energy from raw total energies, eV per atom: -0.493
D(E_F), states/eV per atom: 0.747


Record 2
Entry from Alexandria: a relaxed structure of Na8B13C3 (PBE-GGA).

The structure in POSCAR format:
```
Na8B13C3
1.0
0.0000 8.6811 5.1861
2.8837 0.0000 5.1861
2.8837 8.6811 0.0000
Na B C
8 13 3
Direct
0.1234 0.3745 0.1255
0.1234 0.8766 0.1234
0.3745 0.1234 0.3766
0.3769 0.6243 0.3757
0.6234 0.8745 0.6255
0.6243 0.3769 0.6231
0.8745 0.6234 0.8766
0.8766 0.1234 0.8766
0.0760 0.5749 0.4251
0.1775 0.6644 0.8225
0.3208 0.3208 0.6792
0.3228 0.8529 0.6772
0.4103 0.9109 0.0891
0.4321 0.4321 0.0679
0.5749 0.0760 0.9240
0.6634 0.6634 0.3366
0.6644 0.1775 0.3356
0.8302 0.8302 0.1698
0.8529 0.3228 0.1471
0.9109 0.4103 0.5897
0.9321 0.9321 0.5679
0.0812 0.0812 0.4188
0.1675 0.1675 0.8325
0.5812 0.5812 0.9188
```

## Properties
E above lowest polymorph, meV per atom: 15
Energy of formation, meV/atom: 196
Symmetry: Fmm2, No. 42
Spin magnetization, Bohr magnetons per cell: 0.001
D(E_F), states/eV per atom: 0.363


Record 3
Entry from Alexandria: a relaxed structure of PmPuAgO6 (PBE-GGA).

The structure in POSCAR format:
```
PmPuAgO6
1.0
5.5614 0.0000 0.0000
-2.7807 4.8163 0.0000
0.0000 0.0000 10.1956
Pm Pu Ag O
2 2 2 12
Direct
0.0000 0.0000 0.0000
0.0000 0.0000 0.5000
0.3333 0.6667 0.2500
0.6667 0.3333 0.7500
0.3333 0.6667 0.7500
0.6667 0.3333 0.2500
0.0397 0.3651 0.1356
0.0397 0.6746 0.3644
0.3254 0.3651 0.3644
0.3254 0.9603 0.1356
0.3651 0.0397 0.6356
0.3651 0.3254 0.8644
0.6349 0.6746 0.1356
0.6349 0.9603 0.3644
0.6746 0.0397 0.8644
0.6746 0.6349 0.6356
0.9603 0.3254 0.6356
0.9603 0.6349 0.8644
```

## Properties
Symmetry: P-31c, No. 163
Spin magnetization, Bohr magnetons per cell: 0.122
Formation energy from raw total energies, eV per atom: -2.060
D(E_F), states/eV per atom: 0.777


Record 4
Entry from Alexandria: a relaxed structure of SiTe (PBE-GGA).

The structure in POSCAR format:
```
SiTe
1.0
7.9915 0.0000 0.0000
0.0000 7.9915 0.0000
0.0000 0.0000 7.9915
Si Te
6 6
Direct
0.0000 0.2500 0.5000
0.0000 0.7500 0.5000
0.2500 0.5000 0.0000
0.5000 0.0000 0.2500
0.5000 0.0000 0.7500
0.7500 0.5000 0.0000
0.0000 0.5000 0.2500
0.0000 0.5000 0.7500
0.2500 0.0000 0.5000
0.5000 0.2500 0.0000
0.5000 0.7500 0.0000
0.7500 0.0000 0.5000
```

## Properties
Symmetry: Pm-3n, No. 223
Spin magnetization, Bohr magnetons per cell: 0.000
Formation energy from raw total energies, eV per atom: 0.534


Record 5
Entry from Alexandria: a relaxed structure of MnNb4Re (PBE-GGA).

The structure in POSCAR format:
```
MnNb4Re
1.0
4.4758 0.0000 0.0000
0.0000 4.1602 0.0000
-0.7236 0.0000 6.1287
Mn Nb Re
1 4 1
Direct
0.0000 0.0000 0.0000
0.0192 0.5000 0.7599
0.4841 0.0000 0.2377
0.5159 0.0000 0.7623
0.9808 0.5000 0.2401
0.5000 0.5000 0.5000
```

## Properties
Energy of formation, meV/atom: 359
Symmetry: P2/m, No. 10
Spin magnetization, Bohr magnetons per cell: 0.001
D(E_F), states/eV per atom: 0.926


Record 6
Entry from Alexandria: a relaxed structure of RbBBr4 (PBE-GGA).

The structure in POSCAR format:
```
RbBBr4
1.0
9.9016 0.0000 0.0000
0.0000 6.3864 0.0000
0.0000 0.0000 7.0194
Rb B Br
2 2 8
Direct
0.0000 0.1723 0.0000
0.5000 0.8277 0.5000
0.0000 0.8066 0.5285
0.5000 0.1934 0.0285
0.0000 0.1258 0.5101
0.0000 0.6900 0.2588
0.1657 0.7100 0.6757
0.3343 0.2900 0.1757
0.5000 0.3100 0.7588
0.5000 0.8742 0.0101
0.6657 0.2900 0.1757
0.8343 0.7100 0.6757
```

## Properties
E above lowest polymorph, meV per atom: 5
Symmetry: Pmn2_1, No. 31
Spin magnetization, Bohr magnetons per cell: 0.000
Formation energy from raw total energies, eV per atom: -0.937
D(E_F), states/eV per atom: 0.000


Record 7
Entry from Alexandria: a relaxed structure of HfZnTe2 (PBE-GGA).

The structure in POSCAR format:
```
HfZnTe2
1.0
-3.2912 3.2912 6.0814
3.2912 -3.2912 6.0814
3.2912 3.2912 -6.0814
Hf Zn Te
2 2 4
Direct
0.0000 0.0000 0.0000
0.7500 0.2500 0.5000
0.2500 0.7500 0.5000
0.5000 0.5000 0.0000
0.1281 0.6250 0.0031
0.3750 0.3781 0.5031
0.6219 0.1250 0.9969
0.8750 0.8719 0.4969
```

## Properties
Symmetry: I-42d, No. 122
Spin magnetization, Bohr magnetons per cell: 0.000
Formation energy from raw total energies, eV per atom: -0.096
D(E_F), states/eV per atom: 0.887


Record 8
Entry from Alexandria: a relaxed structure of SrMg2Ir (PBE-GGA).

The structure in POSCAR format:
```
SrMg2Ir
1.0
-2.4264 2.7358 3.6128
2.4264 -2.7358 3.6128
2.4264 2.7358 -3.6128
Sr Mg Ir
1 2 1
Direct
0.0000 0.0000 0.0000
0.3002 0.8002 0.5000
0.5321 0.5321 0.0000
0.6886 0.1886 0.5000
```

## Properties
Energy of formation, meV/atom: 5
Symmetry: Imm2, No. 44
Spin magnetization, Bohr magnetons per cell: 0.000
D(E_F), states/eV per atom: 0.577


Table of DFT total energy (eV per atom), in record order: -5.30, -5.01, -7.80, -3.75, -9.96, -3.33, -4.47, -3.43